Entry 1:
Computed, not measured: an optimized crystal structure of BeTe2Mo at the PBE-GGA level of DFT.

Lattice parameters (Å, degrees): 4.5916 4.5916 6.6942 95.08 95.08 44.83
Fractional coordinates of all 4 atoms:
Be (0.0000, 0.0000, 0.0000)
Te (0.5559, 0.5559, 0.7399)
Te (0.7905, 0.7905, 0.2244)
Mo (0.2797, 0.2797, 0.9132)

Computed properties:
Calculated volume = 99 Å³ per cell
Formation energy (no corrections) = 110 meV/atom
E = -0.1874 hartree per atom
Crystal system = monoclinic

***

Entry 2:
Computed, not measured: an optimized crystal structure of Ni4SnPt at the PBE-GGA level of DFT.

Lattice parameters (Å, degrees): 6.3343 6.3343 6.3343 118.03 118.03 93.45
Fractional coordinates of all 12 atoms:
Ni (0.0175, 0.2769, 0.0285)
Ni (0.2231, 0.7516, 0.7406)
Ni (0.2516, 0.0109, 0.5285)
Ni (0.4891, 0.5175, 0.2406)
Ni (0.5109, 0.4825, 0.7594)
Ni (0.7484, 0.9891, 0.4715)
Ni (0.7769, 0.2484, 0.2594)
Ni (0.9825, 0.7231, 0.9715)
Sn (0.3750, 0.1250, 0.2500)
Sn (0.6250, 0.8750, 0.7500)
Pt (0.1250, 0.3750, 0.7500)
Pt (0.8750, 0.6250, 0.2500)

Computed properties:
Energy relative to the lowest polymorph listed for this composition = 337 meV per atom
Calculated volume = 185 Å³ per cell
Energy of formation = 233 meV/atom
E = -0.1946 hartree per atom
Crystal system = tetragonal

***

Entry 3:
Computed, not measured: an optimized crystal structure of VCdCuBi2 at the PBE-GGA level of DFT.

Lattice parameters (Å, degrees): 5.5660 5.5660 5.1760 90.00 90.00 90.00
Fractional coordinates of all 5 atoms:
V (0.0000, 0.0000, 0.0000)
Cd (0.0000, 0.0000, 0.5000)
Cu (0.5000, 0.5000, 0.0000)
Bi (0.0000, 0.5000, 0.5000)
Bi (0.5000, 0.0000, 0.5000)

Computed properties:
Calculated volume = 160 Å³ per cell
Energy of formation = 1281 meV/atom
E = -0.1138 hartree per atom
Crystal system = tetragonal

***

Entry 4:
Computed, not measured: an optimized crystal structure of BaMg2CdRu at the PBE-GGA level of DFT.

Lattice parameters (Å, degrees): 5.1044 5.1044 5.3566 90.00 90.00 90.00
Fractional coordinates of all 5 atoms:
Ba (0.0000, 0.0000, 0.0000)
Mg (0.0000, 0.5000, 0.5000)
Mg (0.5000, 0.0000, 0.5000)
Cd (0.5000, 0.5000, 0.0000)
Ru (0.5000, 0.5000, 0.5000)

Computed properties:
Calculated volume = 140 Å³ per cell
Energy of formation = -15 meV/atom
E = -0.1130 hartree per atom
Crystal system = tetragonal

***

Entry 5:
Computed, not measured: an optimized crystal structure of LiY2TcH at the PBE-GGA level of DFT.

Lattice parameters (Å, degrees): 4.8527 4.8527 3.6585 90.00 90.00 90.00
Fractional coordinates of all 5 atoms:
Li (0.0000, 0.0000, 0.0000)
Y (0.0000, 0.5000, 0.5000)
Y (0.5000, 0.0000, 0.5000)
Tc (0.5000, 0.5000, 0.0000)
H (0.0000, 0.0000, 0.5000)

Computed properties:
Energy relative to the lowest polymorph listed for this composition = 9 meV per atom
Calculated volume = 86 Å³ per cell
E = -0.2139 hartree per atom
Crystal system = tetragonal

***

Entry 6:
Computed, not measured: an optimized crystal structure of NaAcZnCu at the PBE-GGA level of DFT.

Lattice parameters (Å, degrees): 5.2296 5.2296 5.2296 60.00 60.00 60.00
Fractional coordinates of all 4 atoms:
Na (0.0000, 0.0000, 0.0000)
Ac (0.5000, 0.5000, 0.5000)
Zn (0.2500, 0.2500, 0.2500)
Cu (0.7500, 0.7500, 0.7500)

Computed properties:
Calculated volume = 101 Å³ per cell
Energy of formation = 22 meV/atom
E = -0.0984 hartree per atom
Crystal system = cubic